Here is MnAg2HgF8 after structural relaxation from Alexandria via LeMat-Bulk. Energies are from PBE+U.

Cell: 6.340 6.340 6.340 Å, 114.75 114.75 99.37°
Atoms (fractional coordinates):
Mn1 0.250 0.750 0.500
Ag1 0.750 0.250 0.500
Ag2 0.500 0.500 0.000
Hg1 0.000 0.000 0.000
F1 0.346 0.032 0.314
F2 0.286 0.512 0.226
F3 0.286 0.061 0.774
F4 0.717 0.032 0.686
F5 0.939 0.714 0.226
F6 0.968 0.283 0.314
F7 0.968 0.654 0.686
F8 0.488 0.714 0.774

Output
symmetry	No. 119
M_tot	3.66	μB/cell
VASP energy	-3.898	eV/atom